BePbSe2N | Alexandria via LeMat-Bulk | PBE | relaxed; relative energy among the computed polymorphs = 1.246 eV/atom; formation energy from raw total energies = 1493 meV per atom
1.0
-1.9579 1.1950 -4.9779
-3.9736 -3.7150 0.6710
-2.6142 3.1171 1.7765
N Be Pb Se
1 1 1 2
direct
0.0000 0.0000 0.5000
0.5000 0.5000 0.5000
0.0000 0.0000 0.0000
0.5000 0.0000 0.0000
0.0000 0.5000 0.0000


YThZnCu | Alexandria via LeMat-Bulk | PBE | relaxed; energy of formation from the pure elements = -3.9 kcal/mol of atoms
1.0
5.0736 0.0000 0.0000
2.5368 4.3939 0.0000
2.5368 1.4646 4.1426
Th Cu Y Zn
1 1 1 1
direct
0.2500 0.2500 0.2500
0.0000 0.0000 0.0000
0.7500 0.7500 0.7500
0.5000 0.5000 0.5000


AcGaAu2 | Alexandria via LeMat-Bulk | PBE | relaxed; energy of formation from the pure elements = -16.3 kcal/mol of atoms
1.0
4.6562 0.0000 0.0000
0.0000 4.2477 -1.0698
0.0000 0.2006 9.7639
Ga Ac Au
2 2 4
direct
0.2500 0.6775 0.3549
0.7500 0.3225 0.6451
0.2500 0.8943 0.7886
0.7500 0.1057 0.2114
0.2500 0.2529 0.5058
0.7500 0.7471 0.4942
0.7500 0.4589 0.9178
0.2500 0.5411 0.0822


RbTc2Pt | Alexandria via LeMat-Bulk | PBE | relaxed; relative energy among the computed polymorphs = 0.335 eV/atom; energy of formation from the pure elements = 36.4 kcal/mol of atoms
1.0
-4.2247 -0.0126 -1.9021
-3.2333 2.9503 1.5191
-1.3479 3.5367 -2.6723
Tc Rb Pt
2 1 1
direct
0.2500 0.2500 0.2500
0.7500 0.7500 0.7500
0.0000 0.0000 0.0000
0.5000 0.5000 0.5000


BaThGaAs3 | Alexandria via LeMat-Bulk | PBE | relaxed; energy of formation from the pure elements = -21.5 kcal/mol of atoms
1.0
4.2835 0.0000 0.0000
0.0000 9.0304 -0.0555
0.0000 -2.4424 9.4617
Ga Ba As Th
2 2 6 2
direct
0.2500 0.0848 0.6137
0.7500 0.9152 0.3863
0.7500 0.7925 0.7626
0.2500 0.2075 0.2374
0.7500 0.9068 0.1324
0.2500 0.0932 0.8676
0.2500 0.7994 0.4744
0.7500 0.4577 0.1644
0.7500 0.2006 0.5256
0.2500 0.5423 0.8356
0.2500 0.6752 0.1434
0.7500 0.3248 0.8566


TiAg2SnS4 | Alexandria via LeMat-Bulk | PBE | relaxed; formation energy from raw total energies = -570 meV per atom
1.0
-5.4275 3.5484 -0.7661
-3.7189 -5.2163 2.1862
0.7618 2.9804 8.4071
Ti S Ag Sn
2 8 4 2
direct
0.5055 0.8297 0.5000
0.0055 0.1703 0.0000
0.3637 0.1638 0.0000
0.3855 0.6706 0.2958
0.8855 0.3294 0.7958
0.8637 0.8362 0.5000
0.3885 0.1497 0.5000
0.8855 0.3294 0.2042
0.8885 0.8503 0.0000
0.3855 0.6706 0.7042
0.9974 0.6924 0.2494
0.4974 0.3076 0.2506
0.9974 0.6924 0.7506
0.4974 0.3076 0.7494
0.4765 0.7874 0.0000
0.9765 0.2126 0.5000


PrEr7In2 | Alexandria via LeMat-Bulk | PBE | relaxed; energy of formation from the pure elements = 8.0 kcal/mol of atoms
1.0
5.5225 0.0000 0.0000
0.0000 8.8029 -0.1352
0.0000 -4.0047 7.8404
Pr In Er
1 2 7
direct
0.0000 0.0000 0.0000
0.5000 0.3027 0.6973
0.5000 0.6973 0.3027
0.5000 0.3041 0.0579
0.0000 0.7646 0.2354
0.5000 0.0579 0.3041
0.5000 0.9421 0.6959
0.0000 0.2354 0.7646
0.5000 0.5000 0.5000
0.5000 0.6959 0.9421


K2PdAu2 | Alexandria via LeMat-Bulk | PBE | relaxed; relative energy among the computed polymorphs = 0.664 eV/atom; energy of formation from the pure elements = 9.9 kcal/mol of atoms
1.0
4.4988 0.0000 0.0000
0.0000 4.4988 0.0000
2.2494 2.2494 7.1291
Au K Pd
2 2 1
direct
0.4068 0.4068 0.1863
0.5932 0.5932 0.8137
0.2500 0.7500 0.5000
0.7500 0.2500 0.5000
0.0000 0.0000 0.0000